1.
Compound: MoIr2W2
Source: Alexandria via LeMat-Bulk
Functional: PBE
Structure: relaxed

Calculated values
Its crystal system is tetragonal. For the electronic total energy, the calculation gives -10.874 eV/atom. As for the total magnetization: 0.000 μB/cell. The value obtained for the calculated formation energy is 0.02 eV/atom.

The structure in extended XYZ format:
```
10
Lattice="7.616 0.000 0.000 0.000 7.616 0.000 0.000 0.000 2.777" Properties=species:S:1:pos:R:3 pbc="T T T"
Ir 2.849 6.657 0.000
Ir 4.767 0.959 0.000
Ir 6.657 4.767 0.000
Ir 0.959 2.849 0.000
W 5.107 6.317 1.388
W 1.299 5.107 1.388
W 6.317 2.509 1.388
W 2.509 1.299 1.388
Mo 3.808 3.808 0.000
Mo 0.000 0.000 0.000
```

***

2.
Compound: Tb3Mn
Source: Alexandria via LeMat-Bulk
Functional: PBE
Structure: relaxed

Calculated values
Its crystal system is cubic. For the electronic total energy, the calculation gives -5.535 eV/atom. As for the total magnetization: 3.254 μB/cell. The value obtained for the calculated formation energy is 0.23 eV/atom.

The structure in extended XYZ format:
```
4
Lattice="4.774 0.000 0.000 0.000 4.774 0.000 0.000 0.000 4.774" Properties=species:S:1:pos:R:3 pbc="T T T"
Tb 0.000 2.387 2.387
Tb 2.387 0.000 2.387
Tb 2.387 2.387 0.000
Mn 0.000 0.000 0.000
```

***

3.
Compound: TaB2C
Source: Alexandria via LeMat-Bulk
Functional: PBE
Structure: relaxed

Calculated values
Its crystal system is tetragonal. For the electronic total energy, the calculation gives -8.334 eV/atom. As for the total magnetization: 0.000 μB/cell. The value obtained for the calculated formation energy is 0.27 eV/atom.

The structure in extended XYZ format:
```
8
Lattice="-0.463 4.621 -2.486 -1.062 -2.526 -4.499 -3.322 1.100 -2.918" Properties=species:S:1:pos:R:3 pbc="T T T"
Ta 0.000 0.000 0.000
Ta -2.273 3.384 -4.448
B -3.173 1.351 -5.270
B -1.205 2.372 -2.589
B -3.716 2.918 -7.837
B -1.600 -0.251 -4.108
C -0.762 1.047 -3.492
C -2.573 -0.189 -5.454
```

***

4.
Compound: Hg3S2Cl2
Source: Alexandria via LeMat-Bulk
Functional: PBE
Structure: relaxed

Calculated values
The value obtained for the polymorph energy (0 for the lowest one) is 66 meV per atom. Its crystal system is orthorhombic. For the electronic total energy, the calculation gives -2.159 eV/atom. As for the total magnetization: 0.000 μB/cell.

The structure in extended XYZ format:
```
14
Lattice="-3.053 1.666 2.520 -0.239 -7.005 4.341 7.273 3.697 6.366" Properties=species:S:1:pos:R:3 pbc="T T T"
Hg 3.510 -1.852 5.477
Hg 3.854 -1.790 9.513
Hg 1.266 -4.714 4.650
Hg 5.753 1.009 6.303
Hg 3.629 1.650 3.305
Hg 0.112 -0.250 3.962
S 5.108 -4.203 8.967
S 5.210 -1.267 7.148
S 1.811 -2.437 3.805
S 1.910 0.498 1.985
Cl 1.742 -2.862 7.663
Cl 5.481 2.485 8.657
Cl 2.225 0.825 5.810
Cl -1.514 -4.512 4.809
```

***

5.
Compound: MgCd6Hg8
Source: Alexandria via LeMat-Bulk
Functional: PBE
Structure: relaxed

Calculated values
The value obtained for the polymorph energy (0 for the lowest one) is 21 meV per atom. Its crystal system is trigonal. For the electronic total energy, the calculation gives -0.608 eV/atom. As for the total magnetization: 0.000 μB/cell. The value obtained for the calculated formation energy is 0.02 eV/atom.

The structure in extended XYZ format:
```
15
Lattice="-4.960 5.960 4.581 -0.390 1.471 8.876 2.650 7.204 4.709" Properties=species:S:1:pos:R:3 pbc="T T T"
Hg -3.087 7.145 7.408
Hg 0.387 7.490 10.759
Hg -1.637 9.687 8.689
Hg -3.215 7.026 10.597
Hg 0.515 7.608 7.570
Hg -1.063 4.948 9.478
Hg -2.154 11.673 14.491
Hg -0.546 2.961 3.676
Cd 0.088 5.836 4.969
Cd -2.596 11.123 11.354
Cd -2.788 8.799 13.198
Cd -0.104 3.511 6.813
Cd -2.560 4.619 5.555
Cd -0.140 10.015 12.611
Mg 0.000 0.000 0.000
```

***

6.
Compound: Pm4SiPS2
Source: Alexandria via LeMat-Bulk
Functional: PBE
Structure: relaxed

Calculated values
Its crystal system is monoclinic. For the electronic total energy, the calculation gives -6.389 eV/atom. As for the total magnetization: 0.000 μB/cell.

The structure in extended XYZ format:
```
8
Lattice="-2.513 0.311 -3.257 5.557 -0.953 -4.380 0.830 -6.977 -1.308" Properties=species:S:1:pos:R:3 pbc="T T T"
Pm 3.101 -2.300 -5.226
Pm 0.773 -5.319 -3.718
Pm -0.884 -1.657 -4.702
Pm 4.758 -5.962 -4.242
Si 3.193 -3.965 -2.844
P 1.522 -0.321 -3.818
S 0.830 -6.977 -1.308
S -0.842 -3.333 -2.282
```

***

7.
Compound: VCr2Tc4
Source: Alexandria via LeMat-Bulk
Functional: PBE
Structure: relaxed

Calculated values
Its crystal system is tetragonal. For the electronic total energy, the calculation gives -8.822 eV/atom. As for the total magnetization: 1.929 μB/cell. The value obtained for the calculated formation energy is 1.15 eV/atom.

The structure in extended XYZ format:
```
7
Lattice="4.372 0.000 0.000 0.000 4.372 0.000 2.186 2.186 6.164" Properties=species:S:1:pos:R:3 pbc="T T T"
Tc 4.372 4.372 2.381
Tc 0.000 2.186 0.000
Tc 2.186 2.186 3.783
Tc 2.186 0.000 0.000
V 0.000 0.000 0.000
Cr 2.186 2.186 1.590
Cr 4.372 4.372 4.574
```

***

8.
Compound: ScGa3Pd4
Source: Alexandria via LeMat-Bulk
Functional: PBE
Structure: relaxed

Calculated values
Its crystal system is trigonal. For the electronic total energy, the calculation gives -5.244 eV/atom. As for the total magnetization: 0.000 μB/cell. The value obtained for the calculated formation energy is -0.72 eV/atom.

The structure in extended XYZ format:
```
8
Lattice="-3.828 -0.775 -2.185 -2.546 -3.505 1.121 -5.683 2.686 4.421" Properties=species:S:1:pos:R:3 pbc="T T T"
Ga -6.029 -0.797 1.679
Ga -9.106 -1.123 2.603
Ga -2.951 -0.471 0.755
Pd -4.299 1.087 2.564
Pd -7.758 -2.681 0.793
Pd -7.272 0.640 3.347
Pd -4.785 -2.233 0.011
Sc 0.000 0.000 0.000
```

***

9.
Compound: Ho5Zn4Co
Source: Alexandria via LeMat-Bulk
Functional: PBE
Structure: relaxed

Calculated values
Its crystal system is tetragonal. For the electronic total energy, the calculation gives -3.822 eV/atom. As for the total magnetization: 0.359 μB/cell. The value obtained for the calculated formation energy is -0.31 eV/atom.

The structure in extended XYZ format:
```
10
Lattice="3.490 0.000 0.000 0.000 3.490 0.000 0.000 0.000 17.708" Properties=species:S:1:pos:R:3 pbc="T T T"
Ho 1.745 1.745 16.112
Ho 1.745 1.745 8.854
Ho 1.745 1.745 1.595
Ho 1.745 1.745 12.469
Ho 1.745 1.745 5.239
Zn 0.000 0.000 3.451
Zn 0.000 0.000 14.256
Zn 0.000 0.000 10.677
Zn 0.000 0.000 7.031
Co 0.000 0.000 0.000
```

***

10.
Compound: Cs8Rb2Pt
Source: Alexandria via LeMat-Bulk
Functional: PBE
Structure: relaxed

Calculated values
Its crystal system is monoclinic. For the electronic total energy, the calculation gives -1.357 eV/atom. As for the total magnetization: 0.000 μB/cell. The value obtained for the calculated formation energy is -0.01 eV/atom.

The structure in extended XYZ format:
```
11
Lattice="-3.219 -8.730 2.970 2.054 2.155 8.560 -9.310 3.380 15.905" Properties=species:S:1:pos:R:3 pbc="T T T"
Cs -6.789 -1.715 19.721
Cs -6.256 2.656 17.087
Cs -3.087 -5.657 4.350
Cs -4.219 -5.851 10.348
Cs -3.686 -1.481 7.714
Cs -1.431 -1.165 2.822
Cs -7.388 2.461 23.085
Cs -9.045 -2.031 24.613
Rb -4.731 0.437 12.218
Rb -5.744 -3.633 15.217
Pt 0.000 0.000 0.000
```

***

11.
Compound: FeBi3Pb
Source: Alexandria via LeMat-Bulk
Functional: PBE
Structure: relaxed

Calculated values
The value obtained for the polymorph energy (0 for the lowest one) is 0 meV per atom. Its crystal system is cubic. For the electronic total energy, the calculation gives -4.343 eV/atom. As for the total magnetization: 0.000 μB/cell. The value obtained for the calculated formation energy is 0.42 eV/atom.

The structure in extended XYZ format:
```
5
Lattice="5.200 0.000 0.000 0.000 5.200 0.000 0.000 0.000 5.200" Properties=species:S:1:pos:R:3 pbc="T T T"
Pb 2.600 2.600 2.600
Bi 2.600 0.000 0.000
Bi 0.000 2.600 0.000
Bi 0.000 0.000 2.600
Fe 0.000 0.000 0.000
```